Record 1
# YTaRh2

YTaRh2 at its PBEsol-relaxed geometry (SCAN, Alexandria via LeMat-Bulk).

Cell and atoms, written as POSCAR:
```
YTaRh2
1.0
3.139 0.000 0.000
0.000 3.139 0.000
0.000 0.000 7.172
Y Rh Ta
1 2 1
Direct
0.500 0.500 0.000
0.000 0.000 0.707
0.000 0.000 0.293
0.500 0.500 0.500
```

Formation enthalpy at 0 K: -705 meV/atom
Symmetry: P4/mmm, No. 123

***

Record 2
# YTa3Rh

YTa3Rh at its PBEsol-relaxed geometry (SCAN, Alexandria via LeMat-Bulk).

Cell and atoms, written as POSCAR:
```
YTa3Rh
1.0
4.719 0.000 0.000
0.000 4.719 0.000
0.000 0.000 4.719
Ta Y Rh
3 1 1
Direct
0.000 0.500 0.000
0.500 0.000 0.000
0.000 0.000 0.500
0.000 0.000 0.000
0.500 0.500 0.500
```

Formation enthalpy at 0 K: 2662 meV/atom
Symmetry: Pm-3m, No. 221

***

Record 3
# Y2TaRh

Y2TaRh at its PBEsol-relaxed geometry (SCAN, Alexandria via LeMat-Bulk).

Cell and atoms, written as POSCAR:
```
Y2TaRh
1.0
4.930 -0.045 -0.065
-2.421 4.295 0.065
-2.421 -1.437 4.048
Rh Y Ta
1 2 1
Direct
0.000 0.000 0.000
0.500 0.250 0.750
0.500 0.750 0.250
0.000 0.500 0.500
```

Offset from the most stable computed form: 167.4 meV/atom
Formation enthalpy at 0 K: 29 meV/atom
Symmetry: I4/mmm, No. 139

***

Record 4
# YTa2Rh

YTa2Rh at its PBEsol-relaxed geometry (SCAN, Alexandria via LeMat-Bulk).

Cell and atoms, written as POSCAR:
```
YTa2Rh
1.0
-2.060 0.347 2.200
-2.616 -1.224 -4.348
1.601 -4.542 2.216
Ta Y Rh
2 1 1
Direct
0.986 0.972 0.004
0.727 0.454 0.190
0.516 0.032 0.528
0.271 0.541 0.778
```

Offset from the most stable computed form: 104.4 meV/atom
Formation enthalpy at 0 K: 29 meV/atom
Symmetry: Cm, No. 8

***

Record 5
# YTa2Rh

YTa2Rh at its PBEsol-relaxed geometry (SCAN, Alexandria via LeMat-Bulk).

Cell and atoms, written as POSCAR:
```
YTa2Rh
1.0
-3.806 -0.530 -2.578
0.244 -2.209 -4.059
-1.909 -4.188 -0.473
Ta Rh Y
2 1 1
Direct
0.750 0.750 0.750
0.250 0.250 0.250
0.000 0.000 0.000
0.500 0.500 0.500
```

Offset from the most stable computed form: 295.2 meV/atom
Formation enthalpy at 0 K: 219 meV/atom
Symmetry: Fm-3m, No. 225

***

Record 6
# Ta2ZnRh

Ta2ZnRh at its PBEsol-relaxed geometry (SCAN, Alexandria via LeMat-Bulk).

Cell and atoms, written as POSCAR:
```
Ta2ZnRh
1.0
3.481 0.000 0.000
0.000 4.199 0.000
-1.740 -2.099 4.220
Rh Ta Zn
1 2 1
Direct
0.000 0.500 0.000
0.258 0.258 0.517
0.742 0.742 0.483
0.500 0.000 0.000
```

Formation enthalpy at 0 K: -236 meV/atom
Symmetry: Immm, No. 71

***

Record 7
# TaZnRh3

TaZnRh3 at its PBEsol-relaxed geometry (SCAN, Alexandria via LeMat-Bulk).

Cell and atoms, written as POSCAR:
```
TaZnRh3
1.0
4.350 0.000 0.000
0.000 4.350 0.000
0.000 0.000 4.350
Ta Rh Zn
1 3 1
Direct
0.500 0.500 0.500
0.500 0.000 0.000
0.000 0.500 0.000
0.000 0.000 0.500
0.000 0.000 0.000
```

Formation enthalpy at 0 K: 811 meV/atom
Symmetry: Pm-3m, No. 221

***

Record 8
# TaZnRh2

TaZnRh2 at its PBEsol-relaxed geometry (SCAN, Alexandria via LeMat-Bulk).

Cell and atoms, written as POSCAR:
```
TaZnRh2
1.0
-1.964 1.090 -1.832
1.561 -1.588 -2.618
-3.330 -4.623 0.819
Rh Ta Zn
2 1 1
Direct
0.000 0.000 0.743
0.000 0.000 0.257
0.500 0.500 0.000
0.500 0.500 0.500
```

Formation enthalpy at 0 K: -614 meV/atom
Symmetry: Pmmm, No. 47

***

Record 9
# TaZnRh2

TaZnRh2 at its PBEsol-relaxed geometry (SCAN, Alexandria via LeMat-Bulk).

Cell and atoms, written as POSCAR:
```
TaZnRh2
1.0
4.045 0.000 0.000
-2.022 4.030 0.028
0.000 -2.055 3.484
Rh Zn Ta
2 1 1
Direct
0.250 0.500 0.750
0.750 0.500 0.250
0.500 0.000 0.500
0.000 0.000 0.000
```

Formation enthalpy at 0 K: -675 meV/atom
Symmetry: I4/mmm, No. 139

***

Record 10
# Ta2ZnRh

Ta2ZnRh at its PBEsol-relaxed geometry (SCAN, Alexandria via LeMat-Bulk).

Cell and atoms, written as POSCAR:
```
Ta2ZnRh
1.0
-2.835 0.553 -0.110
-0.026 -1.052 -4.608
0.545 -4.135 3.163
Ta Zn Rh
2 1 1
Direct
0.752 0.195 0.503
0.992 0.050 0.983
0.510 0.571 0.019
0.247 0.684 0.494
```

Formation enthalpy at 0 K: -203 meV/atom
Symmetry: Cm, No. 8

***

Record 11
# Ta3ZnRh

Ta3ZnRh at its PBEsol-relaxed geometry (SCAN, Alexandria via LeMat-Bulk).

Cell and atoms, written as POSCAR:
```
Ta3ZnRh
1.0
-2.607 1.020 3.817
-3.945 -0.913 -2.451
0.208 -4.531 1.353
Rh Ta Zn
1 3 1
Direct
0.000 0.000 0.000
0.000 0.500 0.000
0.500 0.000 0.000
0.000 0.000 0.500
0.500 0.500 0.500
```

Formation enthalpy at 0 K: 1169 meV/atom
Symmetry: Pm-3m, No. 221

***

Record 12
# TaZnRh2

TaZnRh2 at its PBEsol-relaxed geometry (SCAN, Alexandria via LeMat-Bulk).

Cell and atoms, written as POSCAR:
```
TaZnRh2
1.0
2.765 0.000 0.000
1.383 2.395 0.000
1.383 0.798 8.816
Zn Ta Rh
1 1 2
Direct
0.255 0.255 0.236
0.498 0.498 0.505
0.749 0.749 0.752
0.998 0.998 0.006
```

Formation enthalpy at 0 K: -124 meV/atom
Symmetry: R3m, No. 160